No. 1
Sr2CaPtSe after structural relaxation, computed with GGA-PBE.

Values from the calculation:
volume = 34.78 Å³ per atom
N(E_F) = 5.97 states/eV per cell
formation energy from raw total energies = -451 meV per atom

```
Sr2CaPtSe
1.0
5.854 0.000 0.000
0.000 5.854 0.000
0.000 0.000 5.075
Sr Ca Pt Se
2 1 1 1
Direct
0.000 0.500 0.000
0.500 0.000 0.000
0.000 0.000 0.500
0.500 0.500 0.500
0.500 0.500 0.000
```

No. 2
AcCuTe2O7 after structural relaxation, computed with GGA-PBE.

Values from the calculation:
volume = 14.80 Å³ per atom
N(E_F) = 4.18 states/eV per cell
formation energy from raw total energies = -1362 meV per atom

```
AcCuTe2O7
1.0
-2.048 2.048 9.701
2.048 -2.048 9.701
2.048 2.048 -9.701
Ac Cu Te O
1 1 2 7
Direct
0.000 0.000 0.000
0.750 0.250 0.500
0.381 0.381 0.000
0.619 0.619 0.000
0.095 0.595 0.500
0.282 0.282 0.000
0.405 0.905 0.500
0.500 0.500 0.000
0.600 0.100 0.500
0.718 0.718 0.000
0.900 0.400 0.500
```

No. 3
CsLi3Pd after structural relaxation, computed with GGA-PBE.

Values from the calculation:
E above lowest polymorph = 0.000 eV per atom
formation energy from the elements = -0.01 eV/atom
volume = 28.28 Å³ per atom
N(E_F) = 1.92 states/eV per cell

```
CsLi3Pd
1.0
5.210 0.000 0.000
0.000 5.210 0.000
0.000 0.000 5.210
Cs Li Pd
1 3 1
Direct
0.000 0.000 0.000
0.000 0.500 0.500
0.500 0.000 0.500
0.500 0.500 0.000
0.500 0.500 0.500
```